{
  "formula": "TlCrSe2",
  "functional": "meta-GGA SCAN",
  "state": "single point on PBEsol structure",
  "lattice": [[-2.3526, 2.4874, -0.5272], [-2.4462, -2.0182, 1.3940], [1.6875, 3.2081, 7.6056]],
  "species": ["Se", "Tl", "Cr", "Se"],
  "frac_coords": [[0.5000, 0.5000, 0.2293], [0.0000, 0.0000, 0.4434], [0.5000, 0.5000, 0.9536], [0.0000, 0.0000, 0.8737]],
  "energy_ev_per_atom": -33.1139
}

---

{
  "formula": "TlCrSe2",
  "functional": "meta-GGA SCAN",
  "state": "single point on PBEsol structure",
  "lattice": [[3.8210, 0.0000, 0.0000], [0.0000, 3.8210, 0.0000], [-1.9105, -1.9105, 6.5069]],
  "species": ["Se", "Cr", "Tl", "Se"],
  "frac_coords": [[0.7500, 0.2500, 0.5000], [0.2500, 0.7500, 0.5000], [0.5000, 0.5000, 0.0000], [0.0000, 0.0000, 0.0000]],
  "energy_ev_per_atom": -32.8289
}

---

{
  "formula": "ZrTlCr2Se",
  "functional": "meta-GGA SCAN",
  "state": "single point on PBEsol structure",
  "lattice": [[4.4051, 0.0000, 0.0000], [0.0000, 4.4051, 0.0000], [0.0000, 0.0000, 5.4212]],
  "species": ["Zr", "Cr", "Se", "Cr", "Tl"],
  "frac_coords": [[0.5000, 0.5000, 0.5000], [0.0000, 0.5000, 0.0000], [0.0000, 0.0000, 0.0000], [0.5000, 0.0000, 0.0000], [0.0000, 0.0000, 0.5000]],
  "energy_ev_per_atom": -31.3544
}

---

{
  "formula": "CrWSe2",
  "functional": "meta-GGA SCAN",
  "state": "single point on PBEsol structure",
  "lattice": [[-2.0188, 2.4829, -1.2075], [-2.0208, -2.5431, -1.8507], [-1.7603, -0.6090, 6.5347]],
  "species": ["W", "Se", "Cr", "Se"],
  "frac_coords": [[0.5000, 0.0000, 0.0000], [0.3572, 0.3572, 0.7144], [0.0000, 0.5000, 0.0000], [0.6428, 0.6428, 0.2856]],
  "energy_ev_per_atom": -32.1742
}

---

{
  "formula": "CrWSe2",
  "functional": "meta-GGA SCAN",
  "state": "single point on PBEsol structure",
  "lattice": [[2.9702, 0.0000, 0.0000], [1.4851, 2.5723, 0.0000], [1.4851, 0.8574, 8.2882]],
  "species": ["Se", "W", "Cr", "Se"],
  "frac_coords": [[0.1001, 0.1001, 0.6996], [0.0000, 0.0000, 0.0000], [0.5000, 0.5000, 0.5000], [0.8999, 0.8999, 0.3004]],
  "energy_ev_per_atom": -31.6922
}

---

{
  "formula": "CrWSe2",
  "functional": "meta-GGA SCAN",
  "state": "single point on PBEsol structure",
  "lattice": [[4.4037, 0.0000, 0.0000], [2.2019, 3.8137, 0.0000], [2.2019, 1.2712, 3.5956]],
  "species": ["W", "Se", "Cr", "Se"],
  "frac_coords": [[0.5000, 0.5000, 0.5000], [0.2500, 0.2500, 0.2500], [0.0000, 0.0000, 0.0000], [0.7500, 0.7500, 0.7500]],
  "energy_ev_per_atom": -31.8322
}

---

{
  "formula": "CrW2Se",
  "functional": "meta-GGA SCAN",
  "state": "single point on PBEsol structure",
  "lattice": [[3.0200, 0.0000, 0.0000], [0.0000, 4.2410, 0.0000], [-1.5100, -2.1205, 4.4503]],
  "species": ["Se", "Cr", "W", "W"],
  "frac_coords": [[0.2309, 0.7309, 0.4618], [0.5133, 0.5133, 0.0265], [0.7643, 0.2643, 0.5286], [0.9915, 0.9915, 0.9830]],
  "energy_ev_per_atom": -43.9191
}

---

{
  "formula": "CrW2Se",
  "functional": "meta-GGA SCAN",
  "state": "single point on PBEsol structure",
  "lattice": [[-3.5580, -0.7606, -0.4766], [0.7165, -3.5803, 0.3648], [-0.6663, 0.3213, 4.4611]],
  "species": ["Se", "Cr", "W", "W"],
  "frac_coords": [[0.0000, 0.0000, 0.5000], [0.5000, 0.5000, 0.5000], [0.0000, 0.5000, 0.0000], [0.5000, 0.0000, 0.0000]],
  "energy_ev_per_atom": -43.8416
}